# 1
{"formula": "Ce2As2Cl", "functional": "PBE", "state": "relaxed", "mass_density_g_cm3": 5.99, "e_form_raw_ev_per_atom": -1.364, "cell": [[-2.590, 1.013, -3.041], [3.254, -4.925, -4.411], [-4.147, -6.473, 4.167]], "species": ["Cl", "Cl", "Ce", "Ce", "Ce", "Ce", "As", "As", "As", "As"], "frac_coords": [[0.617, 0.584, 0.233], [0.383, 0.084, 0.767], [0.196, 0.382, 0.393], [0.804, 0.882, 0.607], [0.448, 0.458, 0.897], [0.552, 0.958, 0.103], [0.814, 0.465, 0.627], [0.968, 0.745, 0.936], [0.032, 0.245, 0.064], [0.186, 0.965, 0.373]]}

# 2
{"formula": "TbY2Rh3", "functional": "PBE", "state": "relaxed", "mass_density_g_cm3": 8.78, "e_form_ev_per_atom": -0.841, "relative_energy_ev_per_fu": 0.024, "cell": [[-0.402, -1.366, -3.132], [-0.178, -3.141, 1.392], [-10.227, 0.974, 0.889]], "species": ["Rh", "Rh", "Rh", "Y", "Y", "Tb"], "frac_coords": [[0.000, 0.000, 0.666], [0.000, 0.000, 0.334], [0.000, 0.000, 0.000], [0.500, 0.500, 0.167], [0.500, 0.500, 0.833], [0.500, 0.500, 0.500]]}

# 3
{"formula": "La2TmH8", "functional": "PBE", "state": "relaxed", "mass_density_g_cm3": 6.40, "total_energy_ev_per_atom": -4.35, "cell": [[3.703, 0.000, -1.127], [-0.781, 4.516, -2.565], [-0.009, 0.704, 6.618]], "species": ["H", "H", "H", "H", "H", "H", "H", "H", "Tm", "La", "La"], "frac_coords": [[0.351, 0.604, 0.701], [0.176, 0.176, 0.352], [0.351, 0.098, 0.701], [0.000, 0.236, 0.000], [0.649, 0.396, 0.299], [0.824, 0.824, 0.648], [0.649, 0.902, 0.299], [0.000, 0.764, 0.000], [0.500, 0.000, 0.000], [0.832, 0.332, 0.663], [0.168, 0.668, 0.337]]}